11
Lattice="3.403 -5.978 0.000 3.403 5.978 0.000 -2.242 0.000 7.150" Properties=species:S:1:pos:R:3 comment="Na2CeHf2Se6 PBE relaxed" n_ef_per_ev_cell=10.32 raw_formation_energy_kj_per_mol_atoms=-135 space_group="C2/m (12)" e_tot_ev_per_atom=-5.891 pbc="T T T"
Na 3.403 4.064 0.000
Na 3.403 -4.064 0.000
Ce -1.121 0.000 3.575
Hf 2.282 1.996 3.575
Hf 2.282 -1.996 3.575
Se 0.080 2.140 5.169
Se 1.338 0.000 1.976
Se 0.080 -2.140 5.169
Se 4.484 2.140 1.981
Se 3.225 0.000 5.174
Se 4.484 -2.140 1.981

---

11
Lattice="3.632 -6.357 0.000 3.632 6.357 0.000 -2.350 0.000 7.729" Properties=species:S:1:pos:R:3 comment="Na2CeHf2Te6 PBE relaxed" n_ef_per_ev_cell=11.02 raw_formation_energy_kj_per_mol_atoms=-93 space_group="C2/m (12)" e_tot_ev_per_atom=-5.269 pbc="T T T"
Na 3.632 4.363 0.000
Na 3.632 -4.363 0.000
Ce -1.175 0.000 3.865
Hf 2.457 2.131 3.865
Hf 2.457 -2.131 3.865
Te 0.115 2.262 5.619
Te 1.452 0.000 2.119
Te 0.115 -2.262 5.619
Te 4.799 2.262 2.111
Te 3.462 0.000 5.611
Te 4.799 -2.262 2.111